Record 1
VASP calculation (PBE-GGA) on VTeSCl2 after structural relaxation.

## Properties
Symmetry: P4/mmm

a b c (Å): 5.232 5.232 5.293
angles (deg): 90.00 90.00 90.00
Atoms (fractional coordinates):
V: 0.000 0.000 0.000
Te: 0.500 0.500 0.500
S: 0.500 0.500 0.000
Cl: 0.000 0.500 0.500
Cl: 0.500 0.000 0.500

=====

Record 2
VASP calculation (PBE-GGA) on VTeSCl2 after structural relaxation.

## Properties
Symmetry: P4/mmm

a b c (Å): 4.591 4.591 4.969
angles (deg): 90.00 90.00 90.00
Atoms (fractional coordinates):
V: 0.000 0.000 0.000
Te: 0.500 0.500 0.500
S: 0.000 0.000 0.500
Cl: 0.000 0.500 0.000
Cl: 0.500 0.000 0.000

=====

Record 3
VASP calculation (PBE-GGA) on YTe2SCl after structural relaxation.

## Properties
Symmetry: P4/mmm

a b c (Å): 5.295 5.295 4.874
angles (deg): 90.00 90.00 90.00
Atoms (fractional coordinates):
Y: 0.000 0.000 0.000
Te: 0.000 0.500 0.500
Te: 0.500 0.000 0.500
S: 0.500 0.500 0.500
Cl: 0.500 0.500 0.000

=====

Record 4
VASP calculation (PBE-GGA) on YTeSCl2 after structural relaxation.

## Properties
Symmetry: P4/mmm

a b c (Å): 5.390 5.390 5.237
angles (deg): 90.00 90.00 90.00
Atoms (fractional coordinates):
Y: 0.000 0.000 0.000
Te: 0.500 0.500 0.500
S: 0.500 0.500 0.000
Cl: 0.000 0.500 0.500
Cl: 0.500 0.000 0.500

=====

Record 5
VASP calculation (PBE-GGA) on YTeSCl2 after structural relaxation.

## Properties
Symmetry: P4/mmm

a b c (Å): 5.169 5.169 5.534
angles (deg): 90.00 90.00 90.00
Atoms (fractional coordinates):
Y: 0.000 0.000 0.000
Te: 0.500 0.500 0.500
S: 0.000 0.000 0.500
Cl: 0.000 0.500 0.000
Cl: 0.500 0.000 0.000

=====

Record 6
VASP calculation (PBE-GGA) on ZnTeSCl2 after structural relaxation.

## Properties
Symmetry: P4/mmm

a b c (Å): 4.607 4.607 5.444
angles (deg): 90.00 90.00 90.00
Atoms (fractional coordinates):
Zn: 0.000 0.000 0.000
Te: 0.500 0.500 0.500
S: 0.000 0.000 0.500
Cl: 0.000 0.500 0.000
Cl: 0.500 0.000 0.000

=====

Mass density: 3.23 4.46 5.00 3.49 3.59 4.25 (Mg/m³)
Electronic total energy: -3.507 -4.170 -4.040 -3.545 -4.456 -2.520 (eV per atom)
Energy relative to the elements, uncorrected: 0.509 -0.154 -0.296 -0.059 -0.970 -0.073 (eV per atom)